Here is a PBEsol-optimized structure of AlFeOs from the Alexandria database. Energies are from meta-GGA SCAN.

Summary:
- Density: 11.98 g/cm³
- E_form: -0.205 eV/atom
- Magnetic moment: 1.25 μB per formula unit
- E: -32.7924 eV/atom

Cell: 2.711 2.711 5.498 Å, 104.27 104.27 90.00°
Sites, in units of the cell vectors:
Os: 0.322 0.322 0.644
Fe: 0.671 0.671 0.343
Al: 0.007 0.007 0.013